Record 1
# PBE Cr2ReP, relaxed
data_Cr2ReP
_chemical_formula_sum 'Cr2 Re1 P1'
_cell_length_a 4.079
_cell_length_b 4.079
_cell_length_c 2.989
_cell_angle_alpha 90.00
_cell_angle_beta 90.00
_cell_angle_gamma 90.00
_symmetry_space_group_name_H-M 'P 4/m m m'
_symmetry_Int_Tables_number 123
_symmetry_space_group_name_Hall '-P 4 2'
loop_
_atom_site_label
_atom_site_type_symbol
_atom_site_fract_x
_atom_site_fract_y
_atom_site_fract_z
Cr1 Cr 0.000 0.500 0.000
Re1 Re 0.000 0.000 0.500
P1 P 0.500 0.500 0.500
# Energy relative to the elements (eV per atom): 0.07

=====

Record 2
# PBE CrHRh2, relaxed
data_CrHRh2
_chemical_formula_sum 'Cr4 H4 Rh8'
_cell_length_a 5.937
_cell_length_b 5.937
_cell_length_c 5.008
_cell_angle_alpha 90.00
_cell_angle_beta 90.00
_cell_angle_gamma 90.00
_symmetry_space_group_name_H-M 'I -4 2 d'
_symmetry_Int_Tables_number 122
_symmetry_space_group_name_Hall 'I -4 2bw'
loop_
_atom_site_label
_atom_site_type_symbol
_atom_site_fract_x
_atom_site_fract_y
_atom_site_fract_z
Cr1 Cr 0.000 0.000 0.000
H1 H 0.000 0.000 0.500
Rh1 Rh 0.157 0.250 0.625
# Energy above the most stable polymorph in this dataset (meV per atom): 216

=====

Record 3
# PBE Ac3Pu2Sn3, relaxed
data_Ac3Pu2Sn3
_chemical_formula_sum 'Ac6 Pu4 Sn6'
_cell_length_a 9.7973
_cell_length_b 9.7973
_cell_length_c 6.5088
_cell_angle_alpha 90.00
_cell_angle_beta 90.00
_cell_angle_gamma 120.00
_symmetry_space_group_name_H-M 'P 63/m c m'
_symmetry_Int_Tables_number 193
_symmetry_space_group_name_Hall '-P 6c 2'
loop_
_atom_site_label
_atom_site_type_symbol
_atom_site_fract_x
_atom_site_fract_y
_atom_site_fract_z
Ac1 Ac 0.0000 0.2605 0.2500
Pu1 Pu 0.3333 0.6667 0.0000
Sn1 Sn 0.0000 0.3947 0.7500
# Energy relative to the elements (eV per atom): -0.47

=====

Number 1: DFT total energy -9.203 eV per atom, spin magnetization 0.00 μB/cell. Number 2: DFT total energy -6.760 eV per atom, spin magnetization 0.00 μB/cell. Number 3: DFT total energy -7.095 eV per atom, spin magnetization 25.99 μB/cell.